# 1
## Tb2Dy2Er3 (PBE)

Data for a relaxed structure of Tb2Dy2Er3.

Output
V	216.39	Å³/cell

Cell: 4.982 6.100 7.880 Å, 97.44 90.00 114.10°
Element x y z (fractional)
Er (0.357, 0.714, 0.572)
Er (0.500, 0.000, 0.000)
Er (0.643, 0.286, 0.428)
Tb (0.214, 0.428, 0.143)
Tb (0.786, 0.572, 0.857)
Dy (0.929, 0.857, 0.286)
Dy (0.071, 0.143, 0.714)

=====

# 2
## Tb2Dy3Er2 (PBE)

Data for a relaxed structure of Tb2Dy3Er2.

Output
V	219.90	Å³/cell

Cell: 3.510 12.971 5.427 Å, 77.92 90.00 113.90°
Element x y z (fractional)
Tb (0.740, 0.159, 0.420)
Tb (0.260, 0.841, 0.580)
Er (0.571, 0.715, 0.143)
Er (0.429, 0.285, 0.857)
Dy (0.674, 0.449, 0.275)
Dy (0.326, 0.551, 0.725)
Dy (0.000, 0.000, 0.000)

=====

# 3
## Tb4Dy8Er3 (PBE)

Data for a relaxed structure of Tb4Dy8Er3.

Output
V	489.16	Å³/cell

Cell: 6.700 9.203 9.203 Å, 87.42 111.42 111.42°
Element x y z (fractional)
Tb (0.500, 0.000, 0.000)
Tb (0.000, 0.000, 0.000)
Tb (0.000, 0.000, 0.500)
Tb (0.000, 0.500, 0.000)
Dy (0.500, 0.253, 0.747)
Dy (0.000, 0.641, 0.359)
Dy (0.002, 0.269, 0.269)
Dy (0.520, 0.266, 0.266)
Dy (0.998, 0.731, 0.731)
Dy (0.480, 0.734, 0.734)
Dy (0.000, 0.359, 0.641)
Dy (0.500, 0.747, 0.253)
Er (0.500, 0.500, 0.000)
Er (0.500, 0.500, 0.500)
Er (0.500, 0.000, 0.500)

=====

# 4
## Tb5Dy2Er4 (PBE)

Data for a relaxed structure of Tb5Dy2Er4.

Output
V	344.86	Å³/cell

Cell: 3.505 8.652 15.091 Å, 122.40 103.43 101.66°
Element x y z (fractional)
Er (0.132, 0.907, 0.179)
Er (0.449, 0.358, 0.270)
Er (0.868, 0.093, 0.821)
Er (0.551, 0.642, 0.730)
Tb (0.256, 0.789, 0.361)
Tb (0.061, 0.252, 0.436)
Tb (0.500, 0.000, 0.000)
Tb (0.744, 0.211, 0.639)
Tb (0.939, 0.748, 0.564)
Dy (0.340, 0.484, 0.098)
Dy (0.660, 0.516, 0.902)

=====

# 5
## Tb9DyEr2 (PBE)

Data for a relaxed structure of Tb9DyEr2.

Output
V	377.47	Å³/cell

Cell: 5.012 5.012 15.026 Å, 90.00 90.00 90.00°
Element x y z (fractional)
Er (0.000, 0.000, 0.334)
Er (0.000, 0.000, 0.666)
Tb (0.000, 0.500, 0.500)
Tb (0.000, 0.500, 0.833)
Tb (0.000, 0.500, 0.167)
Tb (0.500, 0.500, 0.334)
Tb (0.500, 0.000, 0.833)
Tb (0.500, 0.500, 0.000)
Tb (0.500, 0.500, 0.666)
Tb (0.500, 0.000, 0.500)
Tb (0.500, 0.000, 0.167)
Dy (0.000, 0.000, 0.000)

=====

# 6
## TbDy5Er (PBE)

Data for a relaxed structure of TbDy5Er.

Output
V	293.98	Å³/cell

Cell: 5.753 7.878 7.878 Å, 66.16 68.59 68.59°
Element x y z (fractional)
Dy (0.500, 0.822, 0.178)
Dy (0.255, 0.745, 0.745)
Dy (0.000, 0.500, 0.500)
Dy (0.500, 0.178, 0.822)
Dy (0.745, 0.255, 0.255)
Er (0.500, 0.500, 0.500)
Tb (0.000, 0.000, 0.000)

=====

# 7
## TbDy4Er5 (PBE)

Data for a relaxed structure of TbDy4Er5.

Output
V	311.57	Å³/cell

Cell: 3.524 6.708 14.209 Å, 94.95 102.31 106.09°
Element x y z (fractional)
Dy (0.139, 0.281, 0.194)
Dy (0.395, 0.816, 0.215)
Dy (0.605, 0.184, 0.785)
Dy (0.861, 0.719, 0.806)
Er (0.237, 0.122, 0.416)
Er (0.943, 0.577, 0.386)
Er (0.057, 0.423, 0.614)
Er (0.500, 0.500, 0.000)
Er (0.763, 0.878, 0.584)
Tb (0.500, 0.000, 0.000)

=====

# 8
## Tb2Dy7Er2 (PBE)

Data for a relaxed structure of Tb2Dy7Er2.

Output
V	350.92	Å³/cell

Cell: 8.598 6.455 6.455 Å, 93.08 82.34 82.34°
Element x y z (fractional)
Dy (0.208, 0.081, 0.447)
Dy (0.408, 0.849, 0.849)
Dy (0.792, 0.553, 0.919)
Dy (0.000, 0.000, 0.000)
Dy (0.592, 0.151, 0.151)
Dy (0.792, 0.919, 0.553)
Dy (0.208, 0.447, 0.081)
Er (0.144, 0.606, 0.606)
Er (0.856, 0.394, 0.394)
Tb (0.500, 0.677, 0.323)
Tb (0.500, 0.323, 0.677)

=====

# 9
## Tb2Dy4Er3 (PBE)

Data for a relaxed structure of Tb2Dy4Er3.

Output
V	558.53	Å³/cell

Cell: 6.097 11.156 11.156 Å, 62.12 61.68 61.68°
Element x y z (fractional)
Dy (0.580, 0.428, 0.145)
Dy (0.920, 0.855, 0.572)
Dy (0.420, 0.904, 0.189)
Dy (0.080, 0.145, 0.428)
Dy (0.580, 0.096, 0.811)
Dy (0.080, 0.811, 0.096)
Dy (0.920, 0.189, 0.904)
Dy (0.420, 0.572, 0.855)
Er (0.250, 0.597, 0.403)
Er (0.748, 0.737, 0.930)
Er (0.750, 0.403, 0.597)
Er (0.752, 0.070, 0.263)
Er (0.248, 0.930, 0.737)
Er (0.252, 0.263, 0.070)
Tb (0.920, 0.522, 0.237)
Tb (0.580, 0.763, 0.478)
Tb (0.420, 0.237, 0.522)
Tb (0.080, 0.478, 0.763)

=====

# 10
## TbDy3Er6 (PBE)

Data for a relaxed structure of TbDy3Er6.

Output
V	621.98	Å³/cell

Cell: 6.308 11.412 11.412 Å, 130.80 90.00 90.00°
Element x y z (fractional)
Tb (0.014, 0.162, 0.838)
Tb (0.514, 0.838, 0.162)
Er (0.568, 0.258, 0.379)
Er (0.818, 0.015, 0.985)
Er (0.568, 0.621, 0.742)
Er (0.068, 0.379, 0.258)
Er (0.318, 0.985, 0.015)
Er (0.329, 0.105, 0.543)
Er (0.329, 0.457, 0.895)
Er (0.829, 0.543, 0.105)
Er (0.788, 0.302, 0.698)
Er (0.068, 0.742, 0.621)
Er (0.288, 0.698, 0.302)
Er (0.829, 0.895, 0.457)
Dy (0.988, 0.042, 0.297)
Dy (0.488, 0.958, 0.703)
Dy (0.094, 0.420, 0.580)
Dy (0.488, 0.297, 0.042)
Dy (0.988, 0.703, 0.958)
Dy (0.594, 0.580, 0.420)

=====

# 11
## TbDy2Er7 (PBE)

Data for a relaxed structure of TbDy2Er7.

Output
V	306.00	Å³/cell

Cell: 6.088 9.279 9.290 Å, 141.80 109.09 77.37°
Element x y z (fractional)
Er (0.000, 0.800, 0.200)
Er (0.500, 0.301, 0.201)
Er (0.000, 0.200, 0.800)
Er (0.500, 0.500, 0.000)
Er (0.000, 0.600, 0.399)
Er (0.000, 0.400, 0.601)
Er (0.500, 0.699, 0.799)
Dy (0.500, 0.100, 0.400)
Dy (0.500, 0.900, 0.600)
Tb (0.000, 0.000, 0.000)

=====

# 12
## Tb5DyEr7 (PBE)

Data for a relaxed structure of Tb5DyEr7.

Output
V	417.83	Å³/cell

Cell: 6.641 8.602 8.602 Å, 79.34 67.29 67.29°
Element x y z (fractional)
Er (0.518, 0.812, 0.152)
Er (0.576, 0.424, 0.424)
Er (0.271, 0.729, 0.729)
Er (0.269, 0.231, 0.231)
Er (0.020, 0.311, 0.649)
Er (0.020, 0.649, 0.311)
Er (0.518, 0.152, 0.812)
Tb (0.538, 0.458, 0.005)
Tb (0.538, 0.005, 0.458)
Tb (0.999, 0.458, 0.005)
Tb (0.769, 0.731, 0.731)
Tb (0.999, 0.005, 0.458)
Dy (0.965, 0.035, 0.035)

=====

# 13
## Tb5Dy2Er (PBE)

Data for a relaxed structure of Tb5Dy2Er.

Output
V	520.58	Å³/cell

Cell: 5.617 8.622 11.369 Å, 90.00 90.00 109.03°
Element x y z (fractional)
Tb (0.606, 0.212, 0.250)
Tb (0.955, 0.910, 0.887)
Tb (0.412, 0.824, 0.420)
Tb (0.412, 0.824, 0.080)
Tb (0.588, 0.176, 0.920)
Tb (0.394, 0.788, 0.750)
Tb (0.045, 0.090, 0.113)
Tb (0.045, 0.090, 0.387)
Tb (0.588, 0.176, 0.580)
Tb (0.955, 0.910, 0.613)
Dy (0.787, 0.574, 0.081)
Dy (0.787, 0.574, 0.419)
Dy (0.213, 0.426, 0.919)
Dy (0.213, 0.426, 0.581)
Er (0.772, 0.545, 0.750)
Er (0.228, 0.455, 0.250)

=====

# 14
## Tb6DyEr4 (PBE)

Data for a relaxed structure of Tb6DyEr4.

Output
V	691.61	Å³/cell

Cell: 5.682 5.562 25.453 Å, 90.00 90.00 120.72°
Element x y z (fractional)
Tb (0.805, 0.610, 0.103)
Tb (0.865, 0.730, 0.818)
Tb (0.865, 0.730, 0.682)
Tb (0.500, 0.000, 0.000)
Tb (0.468, 0.936, 0.250)
Tb (0.500, 0.000, 0.500)
Tb (0.532, 0.064, 0.750)
Tb (0.135, 0.270, 0.182)
Tb (0.805, 0.610, 0.397)
Tb (0.195, 0.390, 0.897)
Tb (0.195, 0.390, 0.603)
Tb (0.135, 0.270, 0.318)
Er (0.846, 0.692, 0.957)
Er (0.154, 0.308, 0.043)
Er (0.154, 0.308, 0.457)
Er (0.535, 0.069, 0.878)
Er (0.465, 0.931, 0.122)
Er (0.846, 0.692, 0.543)
Er (0.465, 0.931, 0.378)
Er (0.535, 0.069, 0.622)
Dy (0.803, 0.606, 0.250)
Dy (0.197, 0.394, 0.750)

=====

# 15
## Tb12DyEr5 (PBE)

Data for a relaxed structure of Tb12DyEr5.

Output
V	562.30	Å³/cell

Cell: 11.918 10.297 5.575 Å, 90.00 90.00 55.26°
Element x y z (fractional)
Dy (0.000, 0.000, 0.000)
Er (0.500, 0.000, 0.500)
Er (0.612, 0.725, 0.000)
Er (0.112, 0.724, 0.500)
Er (0.888, 0.276, 0.500)
Er (0.388, 0.275, 0.000)
Tb (0.555, 0.612, 0.500)
Tb (0.945, 0.389, 0.000)
Tb (0.777, 0.054, 0.500)
Tb (0.167, 0.334, 0.500)
Tb (0.223, 0.946, 0.500)
Tb (0.333, 0.666, 0.000)
Tb (0.833, 0.666, 0.500)
Tb (0.055, 0.611, 0.000)
Tb (0.667, 0.334, 0.000)
Tb (0.722, 0.946, 0.000)
Tb (0.445, 0.388, 0.500)
Tb (0.278, 0.054, 0.000)

=====

# 16
## Tb2Dy7Er2 (PBE)

Data for a relaxed structure of Tb2Dy7Er2.

Output
V	349.73	Å³/cell

Cell: 6.001 11.105 7.959 Å, 45.76 105.85 113.05°
Element x y z (fractional)
Dy (0.826, 0.590, 0.471)
Dy (0.000, 0.000, 0.000)
Dy (0.414, 0.768, 0.000)
Dy (0.826, 0.061, 0.529)
Dy (0.174, 0.410, 0.529)
Dy (0.586, 0.232, 0.000)
Dy (0.174, 0.939, 0.471)
Er (0.804, 0.588, 0.000)
Er (0.196, 0.412, 0.000)
Tb (0.500, 0.216, 0.567)
Tb (0.500, 0.784, 0.433)

=====

# 17
## TbDyEr2 (PBE)

Data for a relaxed structure of TbDyEr2.

Output
V	123.84	Å³/cell

Cell: 3.550 3.550 11.533 Å, 81.15 81.15 60.00°
Element x y z (fractional)
Er (0.084, 0.084, 0.749)
Er (0.250, 0.250, 0.251)
Tb (0.666, 0.666, 0.001)
Dy (0.500, 0.500, 0.499)

=====

# 18
## Tb8Dy4Er3 (PBE)

Data for a relaxed structure of Tb8Dy4Er3.

Output
V	481.31	Å³/cell

Cell: 6.892 6.892 12.357 Å, 73.81 73.81 60.00°
Element x y z (fractional)
Dy (0.664, 0.664, 0.009)
Dy (0.336, 0.336, 0.991)
Dy (0.000, 0.000, 0.000)
Dy (0.500, 0.500, 0.500)
Er (0.000, 0.000, 0.500)
Er (0.500, 0.000, 0.500)
Er (0.000, 0.500, 0.500)
Tb (0.750, 0.248, 0.252)
Tb (0.248, 0.750, 0.252)
Tb (0.250, 0.250, 0.748)
Tb (0.750, 0.750, 0.252)
Tb (0.755, 0.755, 0.735)
Tb (0.752, 0.250, 0.748)
Tb (0.250, 0.752, 0.748)
Tb (0.245, 0.245, 0.265)

=====

# 19
## TbDy4Er7 (PBE)

Data for a relaxed structure of TbDy4Er7.

Output
V	383.51	Å³/cell

Cell: 5.799 11.436 6.644 Å, 83.48 64.13 75.31°
Element x y z (fractional)
Er (0.634, 0.500, 0.233)
Er (0.212, 0.076, 0.500)
Er (0.366, 0.500, 0.767)
Er (0.500, 0.000, 0.000)
Er (0.938, 0.322, 0.801)
Er (0.788, 0.924, 0.500)
Er (0.062, 0.678, 0.199)
Dy (0.243, 0.320, 0.194)
Dy (0.757, 0.680, 0.806)
Dy (0.636, 0.225, 0.503)
Dy (0.364, 0.775, 0.497)
Tb (0.000, 0.000, 0.000)

=====

# 20
## Tb6DyEr2 (PBE)

Data for a relaxed structure of Tb6DyEr2.

Output
V	571.13	Å³/cell

Cell: 6.544 9.514 9.514 Å, 96.11 80.61 80.61°
Element x y z (fractional)
Dy (0.250, 0.120, 0.880)
Dy (0.750, 0.880, 0.120)
Tb (0.775, 0.538, 0.939)
Tb (0.182, 0.046, 0.222)
Tb (0.725, 0.061, 0.462)
Tb (0.003, 0.280, 0.648)
Tb (0.997, 0.720, 0.352)
Tb (0.318, 0.778, 0.954)
Tb (0.682, 0.222, 0.046)
Tb (0.275, 0.939, 0.538)
Tb (0.225, 0.462, 0.061)
Tb (0.503, 0.648, 0.280)
Tb (0.497, 0.352, 0.720)
Tb (0.818, 0.954, 0.778)
Er (0.134, 0.618, 0.665)
Er (0.366, 0.335, 0.382)
Er (0.866, 0.382, 0.335)
Er (0.634, 0.665, 0.618)

=====

For each record above, in turn, the calculated E_form values are 2 4 38 4 2 107 6 11 9 12 2 25 13 12 7 16 1 14 28 11 kJ/mol of atoms.